Record 1
# SbP2OsI

Crystalline SbP2OsI at its relaxed geometry (PBE, Alexandria).

```
data_SbP2OsI
_symmetry_space_group_name_H-M 'P 4/m m m'
_symmetry_Int_Tables_number 123
_symmetry_space_group_name_Hall '-P 4 2'
_cell_length_a 4.983
_cell_length_b 4.983
_cell_length_c 5.684
_cell_angle_alpha 90.00
_cell_angle_beta 90.00
_cell_angle_gamma 90.00
loop_
_atom_site_label
_atom_site_fract_x
_atom_site_fract_y
_atom_site_fract_z
Sb1 0.000 0.000 0.000
P1 0.000 0.500 0.500
Os1 0.500 0.500 0.000
I1 0.000 0.000 0.500
```

Record 2
# CsNaCoI4

Crystalline CsNaCoI4 at its relaxed geometry (PBE, Alexandria).

```
data_CsNaCoI4
_symmetry_space_group_name_H-M 'P 1 21/m 1'
_symmetry_Int_Tables_number 11
_cell_length_a 7.486
_cell_length_b 8.297
_cell_length_c 10.375
_cell_angle_alpha 90.00
_cell_angle_beta 108.93
_cell_angle_gamma 90.00
loop_
_symmetry_equiv_pos_as_xyz
'x,y,z'
'-x,-y,-z'
'-x,y+1/2,-z'
'x,-y+1/2,z'
loop_
_atom_site_label
_atom_site_fract_x
_atom_site_fract_y
_atom_site_fract_z
Cs1 0.246 0.250 0.066
Na1 0.220 0.250 0.553
Co1 0.201 0.750 0.318
I1 0.021 0.003 0.717
I2 0.373 0.750 0.138
I3 0.438 0.750 0.560
```

Number 1: raw total energy -3.121 eV per atom. Number 2: raw total energy -3.023 eV per atom.